Density functional theory data (SCAN) for InGa2PtN at its PBEsol-relaxed geometry.

Output
- Space-group type: P4/mmm, No. 123
- DOS at the Fermi energy: 2.4 states/eV/f.u.
- Energy relative to the elements, uncorrected: 0.33 eV per atom

a b c (Å): 4.0410 4.0410 4.7772
angles (deg): 90.00 90.00 90.00
Last column: nearest neighbours and their distance in Å.
Atoms (fractional coordinates):
Pt: 0.5000 0.5000 0.5000  4 In 2.86, 8 Ga 3.13
Ga: 0.0000 0.5000 0.0000  2 N 2.02
Ga: 0.5000 0.0000 0.0000  2 N 2.02
N: 0.0000 0.0000 0.0000  4 Ga 2.02
In: 0.0000 0.0000 0.5000  2 N 2.39


Density functional theory data (SCAN) for TmHfRu2 at its PBEsol-relaxed geometry.

Output
- Energy: -3.441 Ry/atom
- Space-group type: Fm-3m, No. 225
- DOS at the Fermi energy: 1.4 states/eV/f.u.

a b c (Å): 4.5877 4.5877 4.5877
angles (deg): 60.00 60.00 60.00
Last column: nearest neighbours and their distance in Å.
Atoms (fractional coordinates):
Hf: 0.5000 0.5000 0.5000  8 Ru 2.81
Ru: 0.7500 0.7500 0.7500  4 Hf 2.81, 4 Tm 2.81
Ru: 0.2500 0.2500 0.2500  4 Hf 2.81, 4 Tm 2.81
Tm: 0.0000 0.0000 0.0000  8 Ru 2.81


Density functional theory data (SCAN) for RbTlRu3 at its PBEsol-relaxed geometry.

Output
- Energy: -2.689 Ry/atom
- Space-group type: Pm-3m, No. 221
- DOS at the Fermi energy: 4.6 states/eV/f.u.

a b c (Å): 4.7784 4.7784 4.7784
angles (deg): 90.00 90.00 90.00
Last column: nearest neighbours and their distance in Å.
Atoms (fractional coordinates):
Rb: 0.0000 0.0000 0.0000  6 Ru 2.39
Ru: 0.0000 0.5000 0.0000  2 Rb 2.39
Ru: 0.0000 0.0000 0.5000  2 Rb 2.39
Ru: 0.5000 0.0000 0.0000  2 Rb 2.39
Tl: 0.5000 0.5000 0.5000  12 Ru 3.38


Density functional theory data (SCAN) for YTe2Mo at its PBEsol-relaxed geometry.

Output
- Space-group type: R-3m, No. 166
- Energy relative to the elements, uncorrected: -0.15 eV per atom

a b c (Å): 4.3059 4.3059 9.2598
angles (deg): 76.56 76.56 60.00
Last column: nearest neighbours and their distance in Å.
Atoms (fractional coordinates):
Y: 0.5000 0.5000 0.5000  6 Te 3.03
Te: 0.8982 0.8982 0.3054  1 Mo 2.72, 3 Y 3.03
Te: 0.1018 0.1018 0.6946  1 Mo 2.72, 3 Y 3.03
Mo: 0.0000 0.0000 0.0000  2 Te 2.72


Density functional theory data (SCAN) for TaCuSb2Ir at its PBEsol-relaxed geometry.

Output
- Space-group type: P4/mmm, No. 123
- DOS at the Fermi energy: 5.0 states/eV/f.u.
- Energy relative to the elements, uncorrected: 1.64 eV per atom

a b c (Å): 4.5916 5.1545 5.1545
angles (deg): 90.00 90.00 90.00
Last column: nearest neighbours and their distance in Å.
Atoms (fractional coordinates):
Ta: 0.0000 0.0000 0.0000  2 Cu 2.30
Ir: 0.5000 0.5000 0.5000  8 Sb 3.45, 4 Cu 3.64
Sb: 0.0000 0.0000 0.5000  2 Ta 2.58
Sb: 0.0000 0.5000 0.0000  2 Ta 2.58
Cu: 0.5000 0.0000 0.0000  2 Ta 2.30


Density functional theory data (SCAN) for CrTcSb2 at its PBEsol-relaxed geometry.

Output
- Space-group type: Pmm2, No. 25
- DOS at the Fermi energy: 3.0 states/eV/f.u.
- Energy relative to the elements, uncorrected: 0.17 eV per atom

a b c (Å): 3.2373 3.9806 5.5677
angles (deg): 90.00 90.00 90.00
Last column: nearest neighbours and their distance in Å.
Atoms (fractional coordinates):
Tc: 0.0000 0.0000 0.4614  6 Sb 2.71-2.86
Sb: 0.5000 0.5000 0.3044  2 Cr 2.69-2.88, 4 Tc 2.71
Sb: 0.0000 0.0000 0.9472  2 Tc 2.71-2.86, 4 Cr 2.72
Cr: 0.5000 0.5000 0.7869  6 Sb 2.69-2.88


Density functional theory data (SCAN) for Sr3Sn5 at its PBEsol-relaxed geometry.

Output
- Energy: -2.312 Ry/atom
- Space-group type: Cmcm, No. 63
- DOS at the Fermi energy: 3.2 states/eV/f.u.

a b c (Å): 6.7711 6.7711 10.7652
angles (deg): 90.00 90.00 102.46
Last column: nearest neighbours and their distance in Å.
Atoms (fractional coordinates):
Sr: 0.7036 0.2964 0.0000  10 Sn 3.38-3.65
Sr: 0.2964 0.7036 0.5000  10 Sn 3.38-3.65
Sr: 0.7036 0.2964 0.5000  10 Sn 3.38-3.65
Sr: 0.8564 0.8564 0.2500  9 Sn 3.29-3.68
Sr: 0.1436 0.1436 0.7500  9 Sn 3.29-3.68
Sr: 0.2964 0.7036 0.0000  10 Sn 3.38-3.65
Sn: 0.9921 0.5883 0.7500  3 Sn 3.01-3.02
Sn: 0.1898 0.1898 0.4469  3 Sn 3.01-3.13, 1 Sr 3.29
Sn: 0.5386 0.5386 0.7500  4 Sn 3.02-3.13, 1 Sr 3.35
Sn: 0.5883 0.9921 0.7500  3 Sn 3.01-3.02
Sn: 0.0079 0.4117 0.2500  3 Sn 3.01-3.02
Sn: 0.8102 0.8102 0.9469  3 Sn 3.01-3.13, 1 Sr 3.29
Sn: 0.1898 0.1898 0.0531  3 Sn 3.01-3.13, 1 Sr 3.29
Sn: 0.8102 0.8102 0.5531  3 Sn 3.01-3.13, 1 Sr 3.29
Sn: 0.4614 0.4614 0.2500  4 Sn 3.02-3.13, 1 Sr 3.35
Sn: 0.4117 0.0079 0.2500  3 Sn 3.01-3.02


Density functional theory data (SCAN) for ScNi2P at its PBEsol-relaxed geometry.

Output
- Energy: -1.081 Ry/atom
- Space-group type: P4mm, No. 99
- DOS at the Fermi energy: 2.4 states/eV/f.u.

a b c (Å): 3.0442 3.0442 5.7003
angles (deg): 90.00 90.00 90.00
Last column: nearest neighbours and their distance in Å.
Atoms (fractional coordinates):
P: 0.0000 0.0000 0.4248  5 Ni 2.22-2.31
Sc: 0.5000 0.5000 0.7634  6 Ni 2.65-2.93, 4 P 2.89
Ni: 0.5000 0.5000 0.2771  4 P 2.31, 4 Ni 2.56
Ni: 0.0000 0.0000 0.0347  1 P 2.22


Density functional theory data (SCAN) for ReGeSbI2 at its PBEsol-relaxed geometry.

Output
- Space-group type: P4/mmm, No. 123
- DOS at the Fermi energy: 4.3 states/eV/f.u.
- Energy relative to the elements, uncorrected: 1.09 eV per atom

a b c (Å): 5.0616 5.3791 5.3791
angles (deg): 90.00 90.00 90.00
Last column: nearest neighbours and their distance in Å.
Atoms (fractional coordinates):
Re: 0.0000 0.0000 0.0000  2 Sb 2.53, 4 I 2.69
I: 0.0000 0.0000 0.5000  2 Re 2.69
I: 0.0000 0.5000 0.0000  2 Re 2.69
Ge: 0.5000 0.5000 0.5000  8 I 3.69, 4 Sb 3.80
Sb: 0.5000 0.0000 0.0000  2 Re 2.53


Density functional theory data (SCAN) for ZrMnIn2 at its PBEsol-relaxed geometry.

Output
- Energy: -2.142 Ry/atom
- Space-group type: Pmmm, No. 47
- DOS at the Fermi energy: 3.0 states/eV/f.u.

a b c (Å): 3.0155 3.9175 6.4425
angles (deg): 90.00 90.00 90.00
Last column: nearest neighbours and their distance in Å.
Atoms (fractional coordinates):
Mn: 0.5000 0.5000 0.0000  8 In 2.87, 2 Mn 3.02
In: 0.0000 0.0000 0.7743  4 Mn 2.87, 3 In 2.91-3.02, 4 Zr 3.04
In: 0.0000 0.0000 0.2257  4 Mn 2.87, 3 In 2.91-3.02, 4 Zr 3.04
Zr: 0.5000 0.5000 0.5000  2 Zr 3.02, 8 In 3.04, 2 Mn 3.22


Density functional theory data (SCAN) for CuSn2AsPb at its PBEsol-relaxed geometry.

Output
- Energy: -2.663 Ry/atom
- Space-group type: P4/mmm, No. 123
- DOS at the Fermi energy: 2.3 states/eV/f.u.

a b c (Å): 4.2985 5.5698 5.5698
angles (deg): 90.00 90.00 90.00
Last column: nearest neighbours and their distance in Å.
Atoms (fractional coordinates):
Sn: 0.0000 0.0000 0.5000  2 As 2.78
Sn: 0.0000 0.5000 0.0000  2 As 2.78
Pb: 0.5000 0.5000 0.5000  8 Sn 3.52, 4 Cu 3.94
Cu: 0.5000 0.0000 0.0000  2 As 2.15
As: 0.0000 0.0000 0.0000  2 Cu 2.15


Density functional theory data (SCAN) for TeIN2Cl at its PBEsol-relaxed geometry.

Output
- Space-group type: P4/mmm, No. 123
- DOS at the Fermi energy: 3.6 states/eV/f.u.
- Energy relative to the elements, uncorrected: 2.11 eV per atom

a b c (Å): 4.4037 4.4037 5.7548
angles (deg): 90.00 90.00 90.00
Last column: nearest neighbours and their distance in Å.
Atoms (fractional coordinates):
N: 0.0000 0.5000 0.0000  2 Cl 2.20
N: 0.5000 0.0000 0.0000  2 Cl 2.20
Cl: 0.0000 0.0000 0.0000  4 N 2.20
I: 0.5000 0.5000 0.5000  4 Te 3.11
Te: 0.0000 0.0000 0.5000  2 Cl 2.88, 4 I 3.11


Density functional theory data (SCAN) for KTa2Ag at its PBEsol-relaxed geometry.

Output
- Energy: -3.128 Ry/atom
- Space-group type: Pm, No. 6
- DOS at the Fermi energy: 3.6 states/eV/f.u.

a b c (Å): 2.8915 3.5270 9.0857
angles (deg): 90.00 90.11 90.00
Last column: nearest neighbours and their distance in Å.
Atoms (fractional coordinates):
Ta: 0.9975 0.0000 0.0750  6 Ta 2.79-2.89
Ta: 0.4984 0.5000 0.2513  6 Ta 2.79-2.89, 4 Ag 2.87
K: 0.5045 0.5000 0.7303  2 K 2.89
Ag: 0.9996 0.0000 0.4434  4 Ta 2.87, 2 Ag 2.89


Density functional theory data (SCAN) for SrTa2Au at its PBEsol-relaxed geometry.

Output
- Energy: -4.079 Ry/atom
- Space-group type: I4/mmm, No. 139
- DOS at the Fermi energy: 5.0 states/eV/f.u.

a b c (Å): 4.0740 4.0740 5.7742
angles (deg): 110.66 110.66 90.00
Last column: nearest neighbours and their distance in Å.
Atoms (fractional coordinates):
Au: 0.5000 0.5000 0.0000  4 Sr 2.88
Sr: 0.0000 0.0000 0.0000  4 Au 2.88
Ta: 0.7500 0.2500 0.5000  4 Ta 2.88
Ta: 0.2500 0.7500 0.5000  4 Ta 2.88


Density functional theory data (SCAN) for SiPtSe2Br at its PBEsol-relaxed geometry.

Output
- Space-group type: P4/mmm, No. 123
- DOS at the Fermi energy: 3.8 states/eV/f.u.
- Energy relative to the elements, uncorrected: 0.60 eV per atom

a b c (Å): 4.8878 4.8878 4.9729
angles (deg): 90.00 90.00 90.00
Last column: nearest neighbours and their distance in Å.
Atoms (fractional coordinates):
Br: 0.0000 0.0000 0.5000  2 Pt 2.49
Se: 0.0000 0.5000 0.0000  2 Pt 2.44
Se: 0.5000 0.0000 0.0000  2 Pt 2.44
Pt: 0.0000 0.0000 0.0000  4 Se 2.44, 2 Br 2.49
Si: 0.5000 0.5000 0.5000  4 Br 3.46, 8 Se 3.49


Density functional theory data (SCAN) for ZrHg3Te at its PBEsol-relaxed geometry.

Output
- Space-group type: Pm-3m, No. 221
- DOS at the Fermi energy: 3.8 states/eV/f.u.
- Energy relative to the elements, uncorrected: 0.91 eV per atom

a b c (Å): 5.3973 5.3973 5.3973
angles (deg): 90.00 90.00 90.00
Last column: nearest neighbours and their distance in Å.
Atoms (fractional coordinates):
Hg: 0.5000 0.0000 0.0000  2 Te 2.70
Hg: 0.0000 0.5000 0.0000  2 Te 2.70
Hg: 0.0000 0.0000 0.5000  2 Te 2.70
Zr: 0.5000 0.5000 0.5000  12 Hg 3.82
Te: 0.0000 0.0000 0.0000  6 Hg 2.70


Density functional theory data (SCAN) for Ba2SrB18 at its PBEsol-relaxed geometry.

Output
- Energy: -0.859 Ry/atom
- Space-group type: P4/mmm, No. 123
- DOS at the Fermi energy: 0.4 states/eV/f.u.

a b c (Å): 4.2281 4.2281 12.6855
angles (deg): 90.00 90.00 90.00
Last column: nearest neighbours and their distance in Å.
Atoms (fractional coordinates):
B: 0.7960 0.5000 0.8358  5 B 1.72-1.78
B: 0.2040 0.5000 0.8358  5 B 1.72-1.78
B: 0.2040 0.5000 0.1642  5 B 1.72-1.78
B: 0.7960 0.5000 0.1642  5 B 1.72-1.78
B: 0.5000 0.2040 0.1642  5 B 1.72-1.78
B: 0.7956 0.5000 0.5000  5 B 1.73-1.77
B: 0.5000 0.5000 0.9333  5 B 1.69-1.76
B: 0.5000 0.5000 0.7366  5 B 1.75-1.78
B: 0.5000 0.5000 0.2634  5 B 1.75-1.78
B: 0.5000 0.5000 0.4010  5 B 1.75-1.77
B: 0.5000 0.5000 0.5990  5 B 1.75-1.77
B: 0.5000 0.5000 0.0667  5 B 1.69-1.76
B: 0.2044 0.5000 0.5000  5 B 1.73-1.77
B: 0.5000 0.7960 0.8358  5 B 1.72-1.78
B: 0.5000 0.7956 0.5000  5 B 1.73-1.77
B: 0.5000 0.2040 0.8358  5 B 1.72-1.78
B: 0.5000 0.2044 0.5000  5 B 1.73-1.77
B: 0.5000 0.7960 0.1642  5 B 1.72-1.78
Ba: 0.0000 0.0000 0.6679  24 B 3.11-3.12
Ba: 0.0000 0.0000 0.3321  24 B 3.11-3.12
Sr: 0.0000 0.0000 0.0000  24 B 3.09-3.11


Density functional theory data (SCAN) for AlCu at its PBEsol-relaxed geometry.

Output
- Energy: -0.861 Ry/atom
- Space-group type: Cm, No. 8
- DOS at the Fermi energy: 0.4 states/eV/f.u.

a b c (Å): 2.8085 4.8375 6.2542
angles (deg): 104.57 90.00 106.88
Last column: nearest neighbours and their distance in Å.
Atoms (fractional coordinates):
Al: 0.9763 0.9526 0.9899  6 Cu 2.52-2.61, 6 Al 2.75-2.81
Al: 0.6753 0.3507 0.3344  7 Cu 2.50-2.61, 1 Al 2.66
Al: 0.6225 0.2451 0.7318  7 Cu 2.55-2.69, 5 Al 2.66-2.81
Cu: 0.2671 0.5343 0.0594  7 Al 2.52-2.61, 5 Cu 2.71-2.81
Cu: 0.9532 0.9063 0.3906  6 Al 2.50-2.69, 4 Cu 2.62-2.71
Cu: 0.3388 0.6777 0.6607  7 Al 2.54-2.61, 5 Cu 2.62-2.81


Density functional theory data (SCAN) for BePt7 at its PBEsol-relaxed geometry.

Output
- Energy: -4.566 Ry/atom
- Space-group type: Fm-3m, No. 225
- DOS at the Fermi energy: 9.7 states/eV/f.u.

a b c (Å): 5.4646 5.4646 5.4646
angles (deg): 60.00 60.00 60.00
Last column: nearest neighbours and their distance in Å.
Atoms (fractional coordinates):
Pt: 0.5000 0.5000 0.0000  10 Pt 2.73, 2 Be 2.73
Pt: 0.5000 0.0000 0.5000  10 Pt 2.73, 2 Be 2.73
Pt: 0.0000 0.5000 0.5000  10 Pt 2.73, 2 Be 2.73
Pt: 0.0000 0.5000 0.0000  10 Pt 2.73, 2 Be 2.73
Pt: 0.5000 0.5000 0.5000  12 Pt 2.73
Pt: 0.0000 0.0000 0.5000  10 Pt 2.73, 2 Be 2.73
Pt: 0.5000 0.0000 0.0000  2 Be 2.73, 10 Pt 2.73
Be: 0.0000 0.0000 0.0000  12 Pt 2.73


Density functional theory data (SCAN) for CaV2O4 at its PBEsol-relaxed geometry.

Output
- Space-group type: P2_1, No. 4
- DOS at the Fermi energy: 0.3 states/eV/f.u.
- Energy relative to the elements, uncorrected: -2.83 eV per atom

a b c (Å): 4.8754 5.5971 11.3202
angles (deg): 90.00 90.00 89.82
Last column: nearest neighbours and their distance in Å.
Atoms (fractional coordinates):
O: 0.6808 0.4996 0.9015  3 V 2.03-2.07
O: 0.6488 0.5050 0.6090  3 V 1.98-2.05
O: 0.8146 0.2529 0.4127  3 V 1.96-1.99
O: 0.8373 0.2479 0.0931  3 V 1.92-2.10
O: 0.1365 0.2520 0.5921  3 V 1.89-2.07
O: 0.1853 0.7472 0.9127  3 V 1.96-1.99
O: 0.3512 0.4949 0.1090  3 V 1.98-2.05
O: 0.8636 0.7481 0.0921  3 V 1.89-2.07
O: 0.8097 0.7538 0.3776  3 V 1.91-1.99
O: 0.1903 0.2463 0.8775  3 V 1.91-1.99
O: 0.3166 0.0009 0.3984  3 V 1.99-2.08
O: 0.1628 0.7522 0.5931  3 V 1.92-2.10
O: 0.6834 0.9991 0.8985  3 V 1.99-2.08
O: 0.3191 0.5004 0.4015  3 V 2.03-2.06
O: 0.3486 0.0059 0.1132  3 V 1.98-2.02
O: 0.6515 0.9941 0.6132  3 V 1.98-2.02
V: 0.4711 0.2446 0.9949  6 O 1.91-2.10
V: 0.0407 0.0242 0.9980  6 O 1.92-2.08
V: 0.5289 0.7555 0.4948  6 O 1.91-2.10
V: 0.0390 0.4705 0.9979  6 O 1.92-2.07
V: 0.9593 0.9759 0.4980  6 O 1.92-2.08
V: 0.4720 0.2426 0.5089  6 O 1.89-2.05
V: 0.9611 0.5296 0.4979  6 O 1.92-2.07
V: 0.5280 0.7572 0.0089  6 O 1.89-2.05
Ca: 0.4551 0.7476 0.7533  6 O 2.23-2.44
Ca: 0.8458 0.2508 0.7494  6 O 2.22-2.35
Ca: 0.1542 0.7491 0.2495  6 O 2.22-2.35
Ca: 0.5450 0.2523 0.2533  6 O 2.23-2.44